# Pu4Sb6Rh5

Pu4Sb6Rh5 after structural relaxation (PBE, Alexandria).

Properties
Crystal system: orthorhombic
Magnetization: 21.5 μB/f.u.
Total energy: -8.4514 eV/atom
Energy relative to the elements, uncorrected: -0.53 eV/atom

a b c (Å): 4.3962 19.8667 15.7685
angles (deg): 90.00 90.00 90.00
Closest atoms and distances in Å follow each position.
Space group Cmc2_1 (No. 36)
Inequivalent atoms, fractional coordinates:
Pu 0.0000 0.0144 0.0000  7 Sb 3.22-3.28, 3 Rh 3.23-3.40
Pu 0.0000 0.0246 0.7302  5 Rh 3.01-3.36, 6 Sb 3.19-3.29
Pu 0.0000 0.1700 0.1924  6 Sb 3.10-3.16
Pu 0.0000 0.1827 0.5581  6 Sb 3.04-3.10
Sb 0.0000 0.1168 0.3801  4 Rh 2.69-2.73
Sb 0.0000 0.2186 0.0016  4 Rh 2.60-2.64
Sb 0.0000 0.2249 0.7452  4 Rh 2.59-2.63
Sb 0.0000 0.4198 0.0921  1 Rh 2.65
Sb 0.0000 0.4312 0.3661  5 Rh 2.62-2.67
Sb 0.0000 0.4311 0.6385  2 Rh 2.61-2.71
Rh 0.0000 0.1401 0.8698  4 Sb 2.59-2.62
Rh 0.0000 0.3052 0.8744  4 Sb 2.59-2.69
Rh 0.0000 0.3476 0.2332  4 Sb 2.63-2.67
Rh 0.0000 0.3549 0.5040  4 Sb 2.61-2.65
Rh 0.0000 0.4424 0.8099  4 Sb 2.66-2.73, 1 Rh 2.91

---

# PuSbRh2

PuSbRh2 after structural relaxation (PBE, Alexandria).

Properties
Crystal system: tetragonal
Magnetization: 5.1 μB/f.u.
Total energy: -8.7408 eV/atom
Energy relative to the elements, uncorrected: -0.45 eV/atom

a b c (Å): 4.0059 4.0059 10.3534
angles (deg): 90.00 90.00 90.00
Closest atoms and distances in Å follow each position.
Space group P4/nmm (No. 129, origin choice 2)
Inequivalent atoms, fractional coordinates:
Pu 0.2500 0.2500 0.1776  5 Rh 2.71-3.00
Sb 0.2500 0.2500 0.6589  5 Rh 2.59-2.67
Rh 0.2500 0.2500 0.9163  1 Sb 2.67, 1 Pu 2.71
Rh 0.2500 0.7500 0.5000  4 Sb 2.59, 4 Rh 2.83

---

# Pu3Sb4Rh2

Pu3Sb4Rh2 after structural relaxation (PBE, Alexandria).

Properties
Crystal system: monoclinic
Magnetization: 5.7 μB/f.u.
Total energy: -8.7965 eV/atom
Energy relative to the lowest polymorph listed for this composition: 0.030 eV per atom
Energy relative to the elements, uncorrected: -0.55 eV/atom

a b c (Å): 11.1564 4.9254 9.2761
angles (deg): 90.00 126.01 90.00
Closest atoms and distances in Å follow each position.
Space group C2/m (No. 12)
Inequivalent atoms, fractional coordinates:
Pu 0.0000 0.0000 0.0000  6 Sb 3.07-3.27, 2 Pu 3.24, 4 Rh 3.27
Pu 0.1474 0.5000 0.6826  1 Rh 3.01, 2 Pu 3.03-3.24, 6 Sb 3.17-3.35
Sb 0.1090 0.0000 0.4136  3 Rh 2.73-2.75
Sb 0.1875 0.5000 0.0573  2 Rh 2.74-2.91, 2 Pu 3.07
Rh 0.1043 0.5000 0.2826  5 Sb 2.73-2.91, 1 Pu 3.01

---

# Pu2SbRh6

Pu2SbRh6 after structural relaxation (PBE, Alexandria).

Properties
Crystal system: trigonal
Magnetization: 8.0 μB/f.u.
Total energy: -8.9262 eV/atom
Energy relative to the elements, uncorrected: -0.38 eV/atom

a b c (Å): 5.6170 5.6170 5.9875
angles (deg): 90.00 90.00 120.00
Closest atoms and distances in Å follow each position.
Space group P-3m1 (No. 164)
Inequivalent atoms, fractional coordinates:
Pu 0.3333 0.6667 0.1902  6 Rh 2.92
Sb 0.0000 0.0000 0.0000  6 Rh 2.59
Rh 0.1757 0.3513 0.6752  1 Sb 2.59, 4 Rh 2.66-2.71

---

# PuSbRh2

PuSbRh2 after structural relaxation (PBE, Alexandria).

Properties
Crystal system: monoclinic
Magnetization: 5.0 μB/f.u.
Total energy: -8.6018 eV/atom
Energy relative to the elements, uncorrected: -0.31 eV/atom

a b c (Å): 3.5531 3.4375 6.3167
angles (deg): 90.00 90.08 90.00
Closest atoms and distances in Å follow each position.
Space group P2/m (No. 10)
Inequivalent atoms, fractional coordinates:
Pu 0.0000 0.0000 0.0000  8 Rh 2.99-3.00, 2 Sb 3.16
Sb 0.0000 0.0000 0.5000  8 Rh 2.87, 2 Pu 3.16
Rh 0.4994 0.5000 0.2683  4 Sb 2.87, 1 Rh 2.93, 4 Pu 2.99-3.00

---

# Pu3Sb2Rh2

Pu3Sb2Rh2 after structural relaxation (PBE, Alexandria).

Properties
Crystal system: orthorhombic
Magnetization: 16.3 μB/f.u.
Total energy: -10.0676 eV/atom
Energy relative to the elements, uncorrected: -0.65 eV/atom

a b c (Å): 5.7680 8.3509 13.4259
angles (deg): 90.00 90.00 90.00
Closest atoms and distances in Å follow each position.
Space group Pbcm (No. 57)
Inequivalent atoms, fractional coordinates:
Pu 0.1163 0.2297 0.2500  4 Rh 3.12-3.14, 5 Sb 3.14-3.39
Pu 0.3346 0.6038 0.0935  3 Rh 2.83-3.15
Sb 0.1904 0.2500 0.0000  4 Rh 2.75-2.82
Sb 0.3914 0.6092 0.7500  2 Rh 2.68
Rh 0.1198 0.5492 0.5928  3 Sb 2.68-2.82, 2 Pu 2.83-2.92, 1 Rh 2.96